First-principles (PBE) data for a relaxed structure of Pr2AgGe2Au, as listed in OQMD via LeMat-Bulk.

a b c (Å): 4.5261 4.5261 7.9864
angles (deg): 90.00 90.00 120.00
Space group P3m1 (No. 156)
Symmetry-distinct sites (fractional):
Pr 0.0000 0.0000 0.0000 x1
Pr 0.0000 0.0000 0.4984 x1
Ag 0.3333 0.6667 0.7497 x1
Ge 0.3333 0.6667 0.2480 x1
Ge 0.6667 0.3333 0.7482 x1
Au 0.6667 0.3333 0.2498 x1

For the electronic total energy, the calculation gives -4.86 eV/atom.

First-principles (PBE) data for a relaxed structure of PrTmLu, as listed in OQMD via LeMat-Bulk.

a b c (Å): 7.657 7.657 7.657
angles (deg): 90.00 90.00 90.00
Space group F-43m (No. 216)
Symmetry-distinct sites (fractional):
Pr 0.000 0.000 0.000 x4
Tm 0.000 0.000 0.500 x4
Lu 0.250 0.250 0.250 x4

For the electronic total energy, the calculation gives -3.88 eV/atom.

First-principles (PBE) data for a relaxed structure of LaReAsO, as listed in OQMD via LeMat-Bulk.

a b c (Å): 4.000 4.498 7.770
angles (deg): 90.00 90.00 90.00
Space group Pmc2_1 (No. 26)
Symmetry-distinct sites (fractional):
La 0.000 0.247 0.000 x2
Re 0.500 0.254 0.333 x2
As 0.500 0.248 0.666 x2
O 0.000 0.255 0.333 x2

For the electronic total energy, the calculation gives -7.96 eV/atom.

First-principles (PBE) data for a relaxed structure of BaNaNiAs, as listed in OQMD via LeMat-Bulk.

a b c (Å): 6.990 6.990 6.990
angles (deg): 90.00 90.00 90.00
Space group F-43m (No. 216)
Symmetry-distinct sites (fractional):
Ba 0.000 0.000 0.000 x4
Na 0.250 0.250 0.250 x4
Ni 0.250 0.250 0.750 x4
As 0.000 0.000 0.500 x4

For the electronic total energy, the calculation gives -3.48 eV/atom.

First-principles (PBE) data for a relaxed structure of BeNb2Cu, as listed in OQMD via LeMat-Bulk.

a b c (Å): 6.225 6.225 6.225
angles (deg): 90.00 90.00 90.00
Space group F-43m (No. 216)
Symmetry-distinct sites (fractional):
Be 0.000 0.000 0.000 x4
Nb 0.000 0.000 0.500 x4
Nb 0.250 0.250 0.750 x4
Cu 0.250 0.250 0.250 x4

For the electronic total energy, the calculation gives -6.42 eV/atom.

First-principles (PBE) data for a relaxed structure of Hf4CuAuN2, as listed in OQMD via LeMat-Bulk.

a b c (Å): 3.2274 3.2274 13.7204
angles (deg): 90.00 90.00 120.00
Space group P-6m2 (No. 187)
Symmetry-distinct sites (fractional):
Hf 0.0000 0.0000 0.1521 x2
Hf 0.6667 0.3333 0.3356 x2
Cu 0.6667 0.3333 0.0000 x1
Au 0.0000 0.0000 0.5000 x1
N 0.3333 0.6667 0.2447 x2

For the electronic total energy, the calculation gives -8.91 eV/atom.

First-principles (PBE) data for a relaxed structure of ZnFeCoPd, as listed in OQMD via LeMat-Bulk.

a b c (Å): 5.930 5.930 5.930
angles (deg): 90.00 90.00 90.00
Space group F-43m (No. 216)
Symmetry-distinct sites (fractional):
Zn 0.000 0.000 0.000 x4
Fe 0.000 0.000 0.500 x4
Co 0.250 0.250 0.250 x4
Pd 0.250 0.250 0.750 x4

For the electronic total energy, the calculation gives -5.58 eV/atom.

First-principles (PBE) data for a relaxed structure of TbYGa2Br2, as listed in OQMD via LeMat-Bulk.

a b c (Å): 4.1334 4.1334 11.2804
angles (deg): 90.00 90.00 120.00
Space group P3m1 (No. 156)
Symmetry-distinct sites (fractional):
Tb 0.0000 0.0000 0.0000 x1
Y 0.0000 0.0000 0.6358 x1
Ga 0.3333 0.6667 0.8487 x1
Ga 0.6667 0.3333 0.7877 x1
Br 0.3333 0.6667 0.4801 x1
Br 0.6667 0.3333 0.1567 x1

For the electronic total energy, the calculation gives -4.65 eV/atom.